## Li4FeCu3O8 (GGA+U)

Data for Li4FeCu3O8 after structural relaxation.

Unit cell a=5.9141 b=5.9141 c=5.9141 alpha=59.70 beta=59.70 gamma=59.70
Last column: nearest neighbours and their distance in Å.
Atoms (fractional coordinates):
1 Li 0.0000 0.0000 0.0000  6 O 2.14
2 Li 0.0000 0.5000 0.5000  6 O 2.14-2.15
3 Li 0.5000 0.0000 0.5000  6 O 2.14-2.15
4 Li 0.5000 0.5000 0.0000  6 O 2.14-2.15
5 Fe 0.5000 0.5000 0.5000  6 O 2.04
6 Cu 0.0000 0.0000 0.5000  6 O 2.02-2.04
7 Cu 0.0000 0.5000 0.0000  6 O 2.02-2.04
8 Cu 0.5000 0.0000 0.0000  6 O 2.02-2.04
9 O 0.2422 0.2422 0.2422  3 Cu 2.02, 3 Li 2.15
10 O 0.2438 0.7443 0.7443  2 Cu 2.04, 1 Fe 2.04, 3 Li 2.14
11 O 0.2557 0.2557 0.7562  2 Cu 2.04, 1 Fe 2.04, 3 Li 2.14
12 O 0.2557 0.7562 0.2557  2 Cu 2.04, 1 Fe 2.04, 3 Li 2.14
13 O 0.7443 0.2438 0.7443  2 Cu 2.04, 1 Fe 2.04, 3 Li 2.14
14 O 0.7443 0.7443 0.2438  2 Cu 2.04, 1 Fe 2.04, 3 Li 2.14
15 O 0.7562 0.2557 0.2557  2 Cu 2.04, 1 Fe 2.04, 3 Li 2.14
16 O 0.7578 0.7578 0.7578  3 Cu 2.02, 3 Li 2.15

Results
For the magnetic moment, the calculation gives 10.91 μB per formula unit. The symmetry is No. 166. The value obtained for the calculated total energy is -5.2711 eV/atom. For the density of states at the Fermi level, the calculation gives 0.1930 states/eV/atom.